[1]
Crystalline K2TiI at its relaxed geometry, computed with PBE.

Cell: 6.2815 6.2815 6.2815 Å, 60.00 60.00 60.00°
Last column: nearest neighbours and their distance in Å.
Positions (direct):
K (0.2500, 0.2500, 0.2500)  4 I 3.85, 4 Ti 3.85
K (0.7500, 0.7500, 0.7500)  4 Ti 3.85, 4 I 3.85
Ti (0.0000, 0.0000, 0.0000)  8 K 3.85
I (0.5000, 0.5000, 0.5000)  8 K 3.85

Calculated values
Calculated volume   175.3 Å³/cell
Space-group type   Fm-3m (225)
Excess energy over the best structure of this formula in the dataset   0.019 eV/atom
Magnetic moment   0.75 μB per atom
Formation energy from raw total energies   318 meV/atom
Theoretical density   2.397 g/cm³

[2]
Crystalline KTiI2 at its relaxed geometry, computed with PBE.

Cell: 7.3700 7.3700 7.3700 Å, 109.02 109.02 110.38°
Last column: nearest neighbours and their distance in Å.
Positions (direct):
K (0.0000, 0.0000, 0.0000)  4 I 3.65
K (0.7500, 0.2500, 0.5000)  4 I 3.65
Ti (0.2500, 0.7500, 0.5000)  4 I 2.82
Ti (0.5000, 0.5000, 0.0000)  4 I 2.82
I (0.1987, 0.1250, 0.5737)  2 Ti 2.82
I (0.3750, 0.8013, 0.9263)  2 Ti 2.82
I (0.5513, 0.6250, 0.4263)  2 Ti 2.82
I (0.8750, 0.4487, 0.0737)  2 Ti 2.82

Calculated values
Calculated volume   308.1 Å³/cell
Space-group type   I-42d (122)
Excess energy over the best structure of this formula in the dataset   0.068 eV/atom
Magnetic moment   0.75 μB per atom
Formation energy from raw total energies   -483 meV/atom
Theoretical density   3.673 g/cm³

[3]
Crystalline K2TiI4 at its relaxed geometry, computed with PBE.

Cell: 9.8239 9.8239 9.8239 Å, 146.23 146.23 48.51°
Last column: nearest neighbours and their distance in Å.
Positions (direct):
K (0.1396, 0.1396, 0.0000)  5 I 3.52-3.79
K (0.8604, 0.8604, 0.0000)  5 I 3.52-3.79
Ti (0.5000, 0.5000, 0.0000)  6 I 2.85-2.94
I (0.0000, 0.5000, 0.5000)  2 Ti 2.85
I (0.3359, 0.3359, 0.0000)  1 Ti 2.94
I (0.5000, 0.0000, 0.5000)  2 Ti 2.85
I (0.6641, 0.6641, 0.0000)  1 Ti 2.94

Calculated values
Calculated volume   291.7 Å³/cell
Space-group type   I4/mmm (139)
Magnetic moment   0.29 μB per atom
Formation energy from raw total energies   -1037 meV/atom
Theoretical density   3.607 g/cm³

[4]
Crystalline KTiI5 at its relaxed geometry, computed with PBE.

Cell: 9.1493 9.1493 10.9180 Å, 108.91 108.91 53.72°
Last column: nearest neighbours and their distance in Å.
Positions (direct):
K (0.0365, 0.9635, 0.7500)  5 I 3.50-3.56
K (0.9635, 0.0365, 0.2500)  5 I 3.50-3.56
Ti (0.5000, 0.5000, 0.0000)  6 I 2.72-2.89
Ti (0.5000, 0.5000, 0.5000)  6 I 2.72-2.89
I (0.1501, 0.5969, 0.4809)  1 Ti 2.72
I (0.1517, 0.5908, 0.8802)  1 Ti 2.73
I (0.3863, 0.6137, 0.2500)  2 Ti 2.89
I (0.4031, 0.8499, 0.0191)  1 Ti 2.72
I (0.4092, 0.8483, 0.6198)  1 Ti 2.73
I (0.5908, 0.1517, 0.3802)  1 Ti 2.73
I (0.5969, 0.1501, 0.9809)  1 Ti 2.72
I (0.6137, 0.3863, 0.7500)  2 Ti 2.89
I (0.8483, 0.4092, 0.1198)  1 Ti 2.73
I (0.8499, 0.4031, 0.5191)  1 Ti 2.72

Calculated values
Calculated volume   686.4 Å³/cell
Space-group type   C2/c (15)
Magnetic moment   0.00 μB per atom
Formation energy from raw total energies   -866 meV/atom
Theoretical density   3.491 g/cm³